1.
# Mg2WSe, optimized geometry, DFT PBE-GGA
# energy relative to the elements, uncorrected	0.19	eV per atom
# ρ	7036	kg/m3
# calculated total energy	-4.721	eV per atom
# V	73	Å³/f.u.
data_Mg2WSe
_chemical_formula_sum 'Mg6 W3 Se3'
_symmetry_space_group_name_H-M 'R -3 m'
_symmetry_Int_Tables_number 166
_symmetry_space_group_name_Hall '-R 3 2"'
_cell_length_a 3.1287
_cell_length_b 3.1287
_cell_length_c 26.0082
_cell_angle_alpha 90.00
_cell_angle_beta 90.00
_cell_angle_gamma 120.00
loop_
_atom_site_label
_atom_site_type_symbol
_atom_site_fract_x
_atom_site_fract_y
_atom_site_fract_z
_atom_site_occupancy
Mg1 Mg 0.0000 0.0000 0.2461 1
W1 W 0.0000 0.0000 0.0000 1
Se1 Se 0.0000 0.0000 0.5000 1


2.
# MgWSe2, optimized geometry, DFT PBE-GGA
# energy relative to the elements, uncorrected	-0.09	eV per atom
# ρ	7924	kg/m3
# calculated total energy	-5.471	eV per atom
# V	77	Å³/f.u.
data_MgWSe2
_chemical_formula_sum 'Mg2 W2 Se4'
_symmetry_space_group_name_H-M 'A m m 2'
_symmetry_Int_Tables_number 38
_symmetry_space_group_name_Hall 'A 2 -2'
_cell_length_a 5.071
_cell_length_b 3.390
_cell_length_c 8.923
_cell_angle_alpha 90.00
_cell_angle_beta 90.00
_cell_angle_gamma 90.00
loop_
_atom_site_label
_atom_site_type_symbol
_atom_site_fract_x
_atom_site_fract_y
_atom_site_fract_z
_atom_site_occupancy
Mg1 Mg 0.000 0.000 0.000 1
W1 W 0.500 0.000 0.633 1
Se1 Se 0.000 0.000 0.714 1
Se2 Se 0.500 0.000 0.345 1


3.
# MgW3Se, optimized geometry, DFT PBE-GGA
# energy relative to the elements, uncorrected	1.44	eV per atom
# ρ	10931	kg/m3
# calculated total energy	-7.351	eV per atom
# V	99	Å³/f.u.
# distance to the lowest polymorph of the same formula	0.000	eV/atom
data_MgW3Se
_chemical_formula_sum 'Mg1 W3 Se1'
_symmetry_space_group_name_H-M 'P m -3 m'
_symmetry_Int_Tables_number 221
_symmetry_space_group_name_Hall '-P 4 2 3'
_cell_length_a 4.633
_cell_length_b 4.633
_cell_length_c 4.633
_cell_angle_alpha 90.00
_cell_angle_beta 90.00
_cell_angle_gamma 90.00
loop_
_atom_site_label
_atom_site_type_symbol
_atom_site_fract_x
_atom_site_fract_y
_atom_site_fract_z
_atom_site_occupancy
Mg1 Mg 0.000 0.000 0.000 1
W1 W 0.000 0.500 0.500 1
Se1 Se 0.500 0.500 0.500 1


4.
# MgWSe, optimized geometry, DFT PBE-GGA
# energy relative to the elements, uncorrected	0.40	eV per atom
# ρ	8678	kg/m3
# calculated total energy	-5.613	eV per atom
# V	55	Å³/f.u.
# distance to the lowest polymorph of the same formula	0.406	eV/atom
data_MgWSe
_chemical_formula_sum 'Mg4 W4 Se4'
_symmetry_space_group_name_H-M 'F m m 2'
_symmetry_Int_Tables_number 42
_symmetry_space_group_name_Hall 'F 2 -2'
_cell_length_a 3.323
_cell_length_b 4.963
_cell_length_c 13.324
_cell_angle_alpha 90.00
_cell_angle_beta 90.00
_cell_angle_gamma 90.00
loop_
_atom_site_label
_atom_site_type_symbol
_atom_site_fract_x
_atom_site_fract_y
_atom_site_fract_z
_atom_site_occupancy
Mg1 Mg 0.000 0.000 0.000 1
W1 W 0.000 0.000 0.669 1
Se1 Se 0.000 0.000 0.317 1


5.
# MgWSe, optimized geometry, DFT PBE-GGA
# energy relative to the elements, uncorrected	-0.01	eV per atom
# ρ	8383	kg/m3
# calculated total energy	-6.020	eV per atom
# V	57	Å³/f.u.
# distance to the lowest polymorph of the same formula	0.000	eV/atom
data_MgWSe
_chemical_formula_sum 'Mg1 W1 Se1'
_symmetry_space_group_name_H-M 'P 3 m 1'
_symmetry_Int_Tables_number 156
_symmetry_space_group_name_Hall 'P 3 -2"'
_cell_length_a 3.1770
_cell_length_b 3.1770
_cell_length_c 6.5064
_cell_angle_alpha 90.00
_cell_angle_beta 90.00
_cell_angle_gamma 120.00
loop_
_atom_site_label
_atom_site_type_symbol
_atom_site_fract_x
_atom_site_fract_y
_atom_site_fract_z
_atom_site_occupancy
Mg1 Mg 0.0000 0.0000 0.0000 1
W1 W 0.3333 0.6667 0.6579 1
Se1 Se 0.6667 0.3333 0.3942 1


6.
# YMg3Se, optimized geometry, DFT PBE-GGA
# energy relative to the elements, uncorrected	0.00	eV per atom
# ρ	2923	kg/m3
# calculated total energy	-2.948	eV per atom
# V	137	Å³/f.u.
# distance to the lowest polymorph of the same formula	0.000	eV/atom
data_YMg3Se
_chemical_formula_sum 'Y1 Mg3 Se1'
_symmetry_space_group_name_H-M 'P m -3 m'
_symmetry_Int_Tables_number 221
_symmetry_space_group_name_Hall '-P 4 2 3'
_cell_length_a 5.152
_cell_length_b 5.152
_cell_length_c 5.152
_cell_angle_alpha 90.00
_cell_angle_beta 90.00
_cell_angle_gamma 90.00
loop_
_atom_site_label
_atom_site_type_symbol
_atom_site_fract_x
_atom_site_fract_y
_atom_site_fract_z
_atom_site_occupancy
Y1 Y 0.000 0.000 0.000 1
Mg1 Mg 0.000 0.500 0.500 1
Se1 Se 0.500 0.500 0.500 1